# 1
# Mo3W

A relaxed Mo3W crystal (GGA-PBE, the Alexandria database).

Properties
- Energy relative to the lowest polymorph listed for this composition: 1.38 eV per formula unit
- Calculated volume: 65.13 Å³/cell
- E: -11.037 eV/atom
- E_form: 0.325 eV/atom

Lattice parameters (Å, degrees): 3.7391 5.3567 3.7391 69.57 90.00 110.43
Fractional positions:
W 0.2500 0.5000 0.2500
Mo 0.5000 0.0000 0.5000
Mo 0.7500 0.5000 0.7500
Mo 0.0000 0.0000 0.0000

# 2
# AlSiAu

A relaxed AlSiAu crystal (GGA-PBE, the Alexandria database).

Properties
- Formation energy (no corrections): -0.08 eV/atom
- Calculated volume: 106.33 Å³/cell
- E: -4.223 eV/atom

Lattice parameters (Å, degrees): 4.1051 8.2057 4.1051 109.33 70.15 70.67
Fractional positions:
Si 0.2404 0.8112 0.3866
Si 0.5064 0.3112 0.6527
Al 0.4910 0.0454 0.1050
Al 0.7881 0.5454 0.4020
Au 0.9965 0.1802 0.8804
Au 0.0126 0.6802 0.8965

# 3
# TbErPt

A relaxed TbErPt crystal (GGA-PBE, the Alexandria database).

Properties
- Energy relative to the lowest polymorph listed for this composition: 0.01 eV per formula unit
- Calculated volume: 161.51 Å³/cell
- E: -5.957 eV/atom
- E_form: -0.879 eV/atom

Lattice parameters (Å, degrees): 4.8474 4.8474 8.4159 73.26 73.26 60.00
Fractional positions:
Pt 0.2510 0.2510 0.2469
Pt 0.7490 0.7490 0.7531
Tb 0.1242 0.1242 0.6274
Tb 0.8758 0.8758 0.3726
Er 0.6258 0.6258 0.1227
Er 0.3742 0.3742 0.8773

# 4
# KBa2LiCd

A relaxed KBa2LiCd crystal (GGA-PBE, the Alexandria database).

Properties
- Calculated volume: 261.53 Å³/cell
- E: -1.528 eV/atom
- E_form: 0.026 eV/atom

Lattice parameters (Å, degrees): 6.8433 6.8433 5.5846 90.00 90.00 90.00
Fractional positions:
Cd 0.0000 0.0000 0.0000
Li 0.0000 0.0000 0.5000
Ba 0.5000 0.0000 0.0000
Ba 0.0000 0.5000 0.0000
K 0.5000 0.5000 0.5000

# 5
# Tb3Cu2Pt

A relaxed Tb3Cu2Pt crystal (GGA-PBE, the Alexandria database).

Properties
- Calculated volume: 549.02 Å³/cell
- E: -5.208 eV/atom
- E_form: -0.521 eV/atom

Lattice parameters (Å, degrees): 4.3536 10.7528 11.7276 90.00 90.00 90.00
Fractional positions:
Pt 0.2500 0.1209 0.1281
Pt 0.7500 0.8791 0.8719
Pt 0.7500 0.6209 0.3719
Pt 0.2500 0.3791 0.6281
Tb 0.7500 0.6253 0.9499
Tb 0.7500 0.5664 0.6122
Tb 0.7500 0.9336 0.1122
Tb 0.2500 0.3747 0.0501
Tb 0.7500 0.1957 0.2764
Tb 0.7500 0.3043 0.7764
Tb 0.2500 0.4336 0.3878
Tb 0.2500 0.6957 0.2236
Tb 0.2500 0.1253 0.5501
Tb 0.2500 0.0664 0.8878
Tb 0.2500 0.8043 0.7236
Tb 0.7500 0.8747 0.4499
Cu 0.2500 0.9813 0.3090
Cu 0.2500 0.5187 0.8090
Cu 0.2500 0.8011 0.9887
Cu 0.7500 0.4813 0.1910
Cu 0.2500 0.6989 0.4887
Cu 0.7500 0.1989 0.0113
Cu 0.7500 0.0187 0.6910
Cu 0.7500 0.3011 0.5113

# 6
# YZnAsBr2

A relaxed YZnAsBr2 crystal (GGA-PBE, the Alexandria database).

Properties
- Formation energy (no corrections): -0.53 eV/atom
- Energy relative to the lowest polymorph listed for this composition: 0.00 eV per formula unit
- Calculated volume: 180.96 Å³/cell
- E: -3.673 eV/atom

Lattice parameters (Å, degrees): 5.5615 5.5615 5.8504 90.00 90.00 90.00
Last column: magnetic moment on the atom in μB.
Fractional positions:
Zn 0.5000 0.5000 0.5000  0.04
Y 0.0000 0.0000 0.0000  0.01
Br 0.0000 0.5000 0.0000  0.04
Br 0.5000 0.0000 0.0000  0.04
As 0.0000 0.0000 0.5000  0.59

# 7
# LaPrSm2Ho

A relaxed LaPrSm2Ho crystal (GGA-PBE, the Alexandria database).

Properties
- Calculated volume: 361.72 Å³/cell
- E: -4.483 eV/atom
- E_form: 0.262 eV/atom

Lattice parameters (Å, degrees): 6.5035 9.0369 6.4613 107.72 90.00 90.00
Fractional positions:
Pr 0.8387 0.5000 0.2500
Pr 0.1613 0.5000 0.7500
Sm 0.3266 0.6835 0.3364
Sm 0.6734 0.6835 0.8364
Sm 0.3266 0.3165 0.1636
Sm 0.6734 0.3165 0.6636
La 0.0000 0.0000 0.5000
La 0.0000 0.0000 0.0000
Ho 0.5179 0.0000 0.2500
Ho 0.4821 0.0000 0.7500

# 8
# Re2OsSe

A relaxed Re2OsSe crystal (GGA-PBE, the Alexandria database).

Properties
- Formation energy (no corrections): 0.38 eV/atom
- Calculated volume: 59.86 Å³/cell
- E: -9.518 eV/atom

Lattice parameters (Å, degrees): 2.9200 2.9200 7.0213 90.00 90.00 90.00
Fractional positions:
Re 0.5000 0.5000 0.2615
Re 0.0000 0.0000 0.9970
Se 0.0000 0.0000 0.4919
Os 0.5000 0.5000 0.7496

# 9
# K2NaHg4

A relaxed K2NaHg4 crystal (GGA-PBE, the Alexandria database).

Properties
- Energy relative to the lowest polymorph listed for this composition: 0.64 eV per formula unit
- Calculated volume: 291.44 Å³/cell
- E: -0.766 eV/atom
- E_form: -0.092 eV/atom

Lattice parameters (Å, degrees): 5.6547 6.0600 9.0284 109.61 90.00 90.00
Fractional positions:
Hg 0.0000 0.9148 0.8296
Hg 0.5000 0.5878 0.1756
Hg 0.5000 0.4122 0.8244
Hg 0.0000 0.0852 0.1704
Na 0.0000 0.5000 0.0000
K 0.5000 0.8125 0.6250
K 0.5000 0.1875 0.3750

# 10
# Ba3CeZn2O6

A relaxed Ba3CeZn2O6 crystal (GGA-PBE, the Alexandria database).

Properties
- Formation energy (no corrections): -2.26 eV/atom
- Calculated volume: 233.41 Å³/cell
- E: -5.923 eV/atom

Lattice parameters (Å, degrees): 6.1453 6.1453 7.1367 90.00 90.00 120.00
Fractional positions:
O 0.6632 0.8316 0.3123
O 0.1684 0.8316 0.3123
O 0.1684 0.3368 0.3123
O 0.3368 0.1684 0.6877
O 0.8316 0.1684 0.6877
O 0.8316 0.6632 0.6877
Ce 0.0000 0.0000 0.5000
Ba 0.3333 0.6667 0.6414
Ba 0.0000 0.0000 0.0000
Ba 0.6667 0.3333 0.3586
Zn 0.3333 0.6667 0.1793
Zn 0.6667 0.3333 0.8207

# 11
# In3Co5

A relaxed In3Co5 crystal (GGA-PBE, the Alexandria database).

Properties
- Energy relative to the lowest polymorph listed for this composition: 0.13 eV per formula unit
- Calculated volume: 251.40 Å³/cell
- E: -5.239 eV/atom
- E_form: 0.229 eV/atom

Lattice parameters (Å, degrees): 8.4369 7.6587 7.8549 77.04 110.53 147.69
Last column: magnetic moment on the atom in μB.
Fractional positions:
Co 0.3061 0.0692 0.2668  1.31
Co 0.6940 0.9316 0.7332  1.31
Co 0.4695 0.2619 0.5629  1.49
Co 0.9402 0.2504 0.3154  1.41
Co 0.2564 0.7351 0.4983  1.60
Co 0.5305 0.7389 0.4371  1.49
Co 0.8295 0.4667 0.2112  1.24
Co 0.0598 0.7504 0.6846  1.41
Co 0.1705 0.5341 0.7888  1.24
Co 0.7436 0.2657 0.5017  1.60
In 0.3282 0.8114 0.1316  -0.05
In 0.8285 0.7054 0.9048  -0.06
In 0.1715 0.2954 0.0952  -0.06
In 0.1795 0.2520 0.6552  -0.06
In 0.8205 0.7488 0.3448  -0.06
In 0.6718 0.1894 0.8684  -0.05

# 12
# AgRu2Br

A relaxed AgRu2Br crystal (GGA-PBE, the Alexandria database).

Properties
- Formation energy (no corrections): 0.81 eV/atom
- Energy relative to the lowest polymorph listed for this composition: 1.56 eV per formula unit
- Calculated volume: 70.46 Å³/cell
- E: -4.963 eV/atom

Lattice parameters (Å, degrees): 5.4130 5.4130 5.1488 65.82 65.82 31.07
Last column: magnetic moment on the atom in μB.
Fractional positions:
Ru 0.0067 0.0067 0.9420  0.19
Ru 0.7223 0.7223 0.8761  0.16
Br 0.2856 0.2856 0.2056  0.00
Ag 0.4854 0.4854 0.4763  0.01

# 13
# RbMgTlCl4

A relaxed RbMgTlCl4 crystal (GGA-PBE, the Alexandria database).

Properties
- Formation energy (no corrections): -1.65 eV/atom
- Calculated volume: 477.53 Å³/cell
- E: -3.410 eV/atom

Lattice parameters (Å, degrees): 7.4001 7.4433 9.1809 90.00 109.21 90.00
Fractional positions:
Cl 0.9730 0.0048 0.7569
Cl 0.4255 0.7500 0.5656
Cl 0.0270 0.9952 0.2431
Cl 0.5745 0.2500 0.4344
Cl 0.9730 0.4952 0.7569
Cl 0.0270 0.5048 0.2431
Cl 0.5669 0.2500 0.8534
Cl 0.4331 0.7500 0.1466
Mg 0.2396 0.7500 0.3040
Mg 0.7604 0.2500 0.6960
Rb 0.7200 0.7500 0.9343
Rb 0.2800 0.2500 0.0657
Tl 0.7981 0.7500 0.4615
Tl 0.2019 0.2500 0.5385

# 14
# K5Rb4Pd

A relaxed K5Rb4Pd crystal (GGA-PBE, the Alexandria database).

Properties
- Calculated volume: 694.96 Å³/cell
- E: -1.423 eV/atom
- E_form: 0.032 eV/atom

Lattice parameters (Å, degrees): 6.6557 10.7466 10.7466 84.50 71.96 71.96
Fractional positions:
K 0.8416 0.3148 0.0000
K 0.4990 0.0000 0.0000
K 0.8416 0.0000 0.3148
K 0.1564 0.6852 0.0000
K 0.1564 0.0000 0.6852
Rb 0.4990 0.6752 0.3248
Rb 0.1741 0.3248 0.3248
Rb 0.4990 0.3248 0.6752
Rb 0.8238 0.6752 0.6752
Pd 0.9990 0.0000 0.0000

# 15
# CaCu3Hg

A relaxed CaCu3Hg crystal (GGA-PBE, the Alexandria database).

Properties
- Energy relative to the lowest polymorph listed for this composition: 0.00 eV per formula unit
- Calculated volume: 116.78 Å³/cell
- E: -2.547 eV/atom
- E_form: 0.372 eV/atom

Lattice parameters (Å, degrees): 4.8879 4.8879 4.8879 90.00 90.00 90.00
Fractional positions:
Cu 0.5000 0.0000 0.0000
Cu 0.0000 0.5000 0.0000
Cu 0.0000 0.0000 0.5000
Hg 0.0000 0.0000 0.0000
Ca 0.5000 0.5000 0.5000

# 16
# Pm5Cd2Pd2

A relaxed Pm5Cd2Pd2 crystal (GGA-PBE, the Alexandria database).

Properties
- Calculated volume: 505.58 Å³/cell
- E: -4.441 eV/atom
- E_form: -0.445 eV/atom

Lattice parameters (Å, degrees): 8.6611 7.3224 8.7724 114.67 90.00 90.00
Fractional positions:
Pd 0.1195 0.6287 0.0000
Pd 0.6195 0.8713 0.0000
Pd 0.3805 0.1287 0.0000
Pd 0.8805 0.3713 0.0000
Cd 0.0000 0.2135 0.4270
Cd 0.5000 0.2865 0.5730
Cd 0.0000 0.7865 0.5730
Cd 0.5000 0.7135 0.4270
Pm 0.6830 0.2899 0.2491
Pm 0.5000 0.5000 0.0000
Pm 0.1830 0.2101 0.7509
Pm 0.1830 0.4592 0.2491
Pm 0.3170 0.7101 0.7509
Pm 0.8170 0.7899 0.2491
Pm 0.0000 0.0000 0.0000
Pm 0.6830 0.0408 0.7509
Pm 0.3170 0.9592 0.2491
Pm 0.8170 0.5408 0.7509

# 17
# KLiMnS2

A relaxed KLiMnS2 crystal (GGA-PBE, the Alexandria database).

Properties
- Formation energy (no corrections): -1.04 eV/atom
- Calculated volume: 110.04 Å³/cell
- E: -5.124 eV/atom

Lattice parameters (Å, degrees): 7.2471 7.2471 7.2471 147.41 147.41 46.76
Last column: magnetic moment on the atom in μB.
Fractional positions:
S 0.6493 0.6493 0.0000  0.09
S 0.3507 0.3507 0.0000  0.09
Mn 0.2500 0.7500 0.5000  4.20
Li 0.7500 0.2500 0.5000  0.00
K 0.0000 0.0000 0.0000  0.01

# 18
# LaSnBi3

A relaxed LaSnBi3 crystal (GGA-PBE, the Alexandria database).

Properties
- Energy relative to the lowest polymorph listed for this composition: 3.10 eV per formula unit
- Calculated volume: 191.31 Å³/cell
- E: -3.893 eV/atom
- E_form: 0.221 eV/atom

Lattice parameters (Å, degrees): 5.7621 5.7621 5.7621 90.00 90.00 90.00
Fractional positions:
La 0.5000 0.5000 0.5000
Bi 0.5000 0.0000 0.0000
Bi 0.0000 0.5000 0.0000
Bi 0.0000 0.0000 0.5000
Sn 0.0000 0.0000 0.0000

# 19
# LiH2Pd

A relaxed LiH2Pd crystal (GGA-PBE, the Alexandria database).

Properties
- Energy relative to the lowest polymorph listed for this composition: 0.00 eV per formula unit
- Calculated volume: 132.42 Å³/cell
- E: -3.832 eV/atom

Lattice parameters (Å, degrees): 3.9493 3.9469 8.4955 90.00 90.00 90.00
Fractional positions:
H 0.5625 0.4997 0.1604
H 0.0625 0.4994 0.4104
H 0.0625 0.0003 0.6604
H 0.5625 0.0006 0.9104
H 0.0625 0.5003 0.8396
H 0.5625 0.5006 0.5896
H 0.5625 0.9997 0.3396
H 0.0625 0.9994 0.0896
Pd 0.0624 0.0002 0.8750
Pd 0.0624 0.5002 0.6250
Pd 0.5624 0.9998 0.1250
Pd 0.5624 0.4998 0.3750
Li 0.0624 0.9995 0.3750
Li 0.5624 0.0005 0.6250
Li 0.0624 0.4995 0.1250
Li 0.5624 0.5005 0.8750

# 20
# NpPa2BeN5

A relaxed NpPa2BeN5 crystal (GGA-PBE, the Alexandria database).

Properties
- Formation energy (no corrections): -1.26 eV/atom
- Calculated volume: 222.33 Å³/cell
- E: -9.844 eV/atom

Lattice parameters (Å, degrees): 3.3400 6.7635 10.1563 90.00 90.00 104.29
Last column: magnetic moment on the atom in μB.
Fractional positions:
N 0.6686 0.3372 0.8871  -0.08
N 0.7158 0.4316 0.1988  -0.07
N 0.9951 0.9901 0.4779  -0.06
N 0.0049 0.0099 0.9779  -0.06
N 0.4900 0.9800 0.7501  -0.03
N 0.6677 0.3354 0.5205  -0.06
N 0.3323 0.6646 0.0205  -0.06
N 0.3314 0.6628 0.3871  -0.08
N 0.2842 0.5684 0.6988  -0.07
N 0.5100 0.0200 0.2501  -0.03
Be 0.5341 0.0683 0.9083  0.00
Be 0.4659 0.9317 0.4083  0.00
Pa 0.1101 0.2202 0.6900  0.18
Pa 0.1453 0.2907 0.3481  0.40
Pa 0.8547 0.7093 0.8481  0.40
Pa 0.8899 0.7798 0.1900  0.18
Np 0.8330 0.6660 0.5431  2.75
Np 0.1670 0.3340 0.0431  2.75